# MgFeGe2O6 | Alexandria via LeMat-Bulk | PBE+U | relaxed
data_MgFeGe2O6
_cell_length_a 9.7886
_cell_length_b 9.1708
_cell_length_c 5.2444
_cell_angle_alpha 90.00
_cell_angle_beta 100.25
_cell_angle_gamma 90.00
_space_group_name_H-M_alt 'C 1 2/c 1'
_space_group_IT_number 15
loop_
_space_group_symop_operation_xyz
'x,y,z'
'-x,-y,-z'
'-x,y,-z+1/2'
'x,-y,z+1/2'
'x+1/2,y+1/2,z'
'-x+1/2,-y+1/2,-z'
'-x+1/2,y+1/2,-z+1/2'
'x+1/2,-y+1/2,z+1/2'
loop_
_atom_site_label
_atom_site_type_symbol
_atom_site_fract_x
_atom_site_fract_y
_atom_site_fract_z
Mg1 Mg 0.0000 0.2289 0.2500
Fe1 Fe 0.0000 0.4073 0.7500
Ge1 Ge 0.1989 0.0940 0.7876
O1 O 0.1147 0.2382 0.6149
O2 O 0.1182 0.4053 0.1410
O3 O 0.1405 0.0697 0.0982
# calculated density = 4.6 g/cm3
# calculated volume = 11.6 Å³ per atom
# DFT total energy = -6.488 eV per atom